# Tb2CeZn

An optimized crystal structure of Tb2CeZn (PBE, Alexandria via LeMat-Bulk).

Calculated values
E_tot: -4.11 eV per atom
ΔE_f: 0.3 kJ per mole of atoms
relative energy among the computed polymorphs: 48 kJ/mol of formula units
crystal system: tetragonal

a = 4.7746 Å, b = 4.7746 Å, c = 4.6418 Å
α = 90.00°, β = 90.00°, γ = 90.00°
With the nearest neighbours (Å) after each atom.
Space group P4/mmm (No. 123)
Symmetry-distinct sites (fractional):
1 Tb 0.0000 0.5000 0.0000 (multiplicity 2)  4 Zn 3.33, 4 Ce 3.33, 4 Tb 3.38
2 Ce 0.0000 0.0000 0.5000 (multiplicity 1)  8 Tb 3.33, 4 Zn 3.38
3 Zn 0.5000 0.5000 0.5000 (multiplicity 1)  8 Tb 3.33, 4 Ce 3.38

=====

# Tb2CeZn9

An optimized crystal structure of Tb2CeZn9 (PBE, Alexandria via LeMat-Bulk).

Calculated values
E_tot: -2.52 eV per atom
ΔE_f: -28.8 kJ per mole of atoms
crystal system: trigonal

a = 5.4574 Å, b = 5.4574 Å, c = 25.9374 Å
α = 90.00°, β = 90.00°, γ = 120.00°
With the nearest neighbours (Å) after each atom.
Space group R-3m (No. 166, hexagonal axes)
Symmetry-distinct sites (fractional):
1 Tb 0.0000 0.0000 0.1406 (multiplicity 6)  12 Zn 3.11-3.25, 3 Tb 3.43
2 Ce 0.0000 0.0000 0.0000 (multiplicity 3)  18 Zn 3.15-3.47
3 Zn 0.0000 0.0000 0.3349 (multiplicity 6)  6 Zn 2.65-2.68
4 Zn 0.0000 0.0000 0.5000 (multiplicity 3)  6 Zn 2.70
5 Zn 0.0060 0.5030 0.9173 (multiplicity 18)  7 Zn 2.65-2.78

=====

# TbCe2Zn9

An optimized crystal structure of TbCe2Zn9 (PBE, Alexandria via LeMat-Bulk).

Calculated values
E_tot: -2.60 eV per atom
ΔE_f: -25.6 kJ per mole of atoms
crystal system: trigonal

a = 5.3904 Å, b = 5.3904 Å, c = 26.4482 Å
α = 90.00°, β = 90.00°, γ = 120.00°
With the nearest neighbours (Å) after each atom.
Space group R-3m (No. 166, hexagonal axes)
Symmetry-distinct sites (fractional):
1 Tb 0.0000 0.0000 0.0000 (multiplicity 3)  18 Zn 3.11-3.44
2 Ce 0.0000 0.0000 0.1475 (multiplicity 6)  12 Zn 3.15-3.22, 3 Ce 3.27
3 Zn 0.0000 0.0000 0.3353 (multiplicity 6)  6 Zn 2.61-2.67
4 Zn 0.0000 0.0000 0.5000 (multiplicity 3)  6 Zn 2.77
5 Zn 0.0040 0.5020 0.9194 (multiplicity 18)  7 Zn 2.61-2.77

=====

# TbCeZn4

An optimized crystal structure of TbCeZn4 (PBE, Alexandria via LeMat-Bulk).

Calculated values
E_tot: -2.93 eV per atom
ΔE_f: -31.0 kJ per mole of atoms
relative energy among the computed polymorphs: 0 kJ/mol of formula units
crystal system: orthorhombic

a = 4.5694 Å, b = 6.9136 Å, c = 7.8093 Å
α = 90.00°, β = 90.00°, γ = 90.00°
With the nearest neighbours (Å) after each atom.
Space group Immm (No. 71)
Symmetry-distinct sites (fractional):
1 Tb 0.0000 0.0000 0.0000 (multiplicity 2)  12 Zn 3.07-3.21
2 Ce 0.0000 0.5000 0.0000 (multiplicity 2)  12 Zn 3.09-3.18, 2 Tb 3.46
3 Zn 0.0000 0.2345 0.3332 (multiplicity 8)  3 Zn 2.61-2.64

=====

- Which of these has the highest ΔE_f?
  Tb2CeZn